# 1
DFT (PBE) results for an optimized crystal structure of La2Ho2CBr4Cl.

Cell: 9.318 9.318 8.096 Å, 104.65 104.65 23.70°
Fractional coordinates of all 10 atoms:
1 Br 0.837 0.837 0.191
2 La 0.353 0.353 0.912
3 C 0.500 0.500 0.000
4 Br 0.842 0.842 0.624
5 Br 0.158 0.158 0.376
6 Ho 0.001 0.001 0.796
7 Cl 0.500 0.500 0.500
8 Br 0.163 0.163 0.809
9 La 0.647 0.647 0.088
10 Ho 0.999 0.999 0.204

M_tot ... 0.195 Bohr magnetons per cell
Offset from the most stable computed form ... 12 meV per atom

=====

# 2
DFT (PBE) results for an optimized crystal structure of La2Ho2CBr3Cl2.

Cell: 9.268 9.268 8.138 Å, 105.68 105.68 23.87°
Each line ends with the local moment (μB).
Fractional coordinates of all 10 atoms:
1 La 0.352 0.352 0.905  0.05
2 C 0.500 0.500 0.000  0.00
3 Br 0.163 0.163 0.814  0.00
4 Cl 0.153 0.153 0.361  0.00
5 Ho 0.000 0.000 0.201  0.01
6 Ho 0.000 0.000 0.799  0.01
7 Cl 0.847 0.847 0.639  0.00
8 Br 0.500 0.500 0.500  0.00
9 Br 0.837 0.837 0.186  0.00
10 La 0.648 0.648 0.095  0.05

M_tot ... 0.265 Bohr magnetons per cell
Offset from the most stable computed form ... 0 meV per atom

=====

# 3
DFT (PBE) results for an optimized crystal structure of La2Ho2CBr3Cl2.

Cell: 9.212 9.212 8.671 Å, 102.94 102.94 24.53°
Fractional coordinates of all 10 atoms:
1 Cl 0.167 0.167 0.292
2 Cl 0.833 0.833 0.708
3 La 0.000 0.000 0.208
4 La 0.000 0.000 0.792
5 Ho 0.363 0.363 0.932
6 C 0.500 0.500 0.000
7 Ho 0.637 0.637 0.068
8 Br 0.175 0.175 0.852
9 Br 0.825 0.825 0.148
10 Br 0.500 0.500 0.500

M_tot ... 0.002 Bohr magnetons per cell
Offset from the most stable computed form ... 6 meV per atom

=====

# 4
DFT (PBE) results for an optimized crystal structure of La2Ho2CBr4Cl.

Cell: 9.335 9.335 8.354 Å, 102.29 102.29 24.20°
Fractional coordinates of all 10 atoms:
1 Br 0.175 0.175 0.851
2 Br 0.825 0.825 0.149
3 Ho 0.366 0.366 0.929
4 C 0.500 0.500 0.000
5 La 0.002 0.002 0.785
6 La 0.998 0.998 0.215
7 Br 0.831 0.831 0.674
8 Cl 0.500 0.500 0.500
9 Ho 0.634 0.634 0.071
10 Br 0.169 0.169 0.326

M_tot ... 0.102 Bohr magnetons per cell
Offset from the most stable computed form ... 0 meV per atom

=====

# 5
DFT (PBE) results for an optimized crystal structure of La2Ho2CBr3Cl2.

Cell: 9.063 9.063 8.177 Å, 104.71 104.71 24.48°
Each line ends with the local moment (μB).
Fractional coordinates of all 10 atoms:
1 Br 0.161 0.161 0.373  0.00
2 Cl 0.838 0.838 0.175  0.00
3 La 0.651 0.651 0.088  0.05
4 Cl 0.162 0.162 0.825  0.00
5 C 0.500 0.500 0.000  0.00
6 Ho 0.998 0.998 0.199  0.01
7 Ho 0.002 0.002 0.801  0.01
8 Br 0.500 0.500 0.500  0.00
9 Br 0.839 0.839 0.627  0.00
10 La 0.349 0.349 0.912  0.05

M_tot ... 0.262 Bohr magnetons per cell
Offset from the most stable computed form ... 8 meV per atom

=====

# 6
DFT (PBE) results for an optimized crystal structure of La2Ho2CBr3Cl2.

Cell: 8.956 8.956 8.667 Å, 102.43 102.43 25.20°
Fractional coordinates of all 10 atoms:
1 Br 0.500 0.500 0.500
2 Cl 0.177 0.177 0.876
3 Cl 0.823 0.823 0.124
4 Br 0.825 0.825 0.682
5 Ho 0.640 0.640 0.072
6 Br 0.175 0.175 0.318
7 La 0.004 0.004 0.794
8 Ho 0.360 0.360 0.928
9 C 0.500 0.500 0.000
10 La 0.996 0.996 0.206

M_tot ... 0.034 Bohr magnetons per cell
Offset from the most stable computed form ... 4 meV per atom

=====

# 7
DFT (PBE) results for an optimized crystal structure of Pr2Ho2CBr3Cl2.

Cell: 9.164 9.164 8.104 Å, 103.91 103.91 23.95°
Fractional coordinates of all 10 atoms:
1 Pr 0.646 0.646 0.083
2 Pr 0.354 0.354 0.917
3 Ho 0.000 0.000 0.202
4 Ho 0.000 0.000 0.798
5 Br 0.165 0.165 0.806
6 C 0.500 0.500 0.000
7 Br 0.500 0.500 0.500
8 Br 0.835 0.835 0.194
9 Cl 0.846 0.846 0.652
10 Cl 0.154 0.154 0.348

Total DFT energy (no corrections) ... -51.9 eV/cell
M_tot ... 0.191 Bohr magnetons per cell

=====

# 8
DFT (PBE) results for an optimized crystal structure of Pr2Ho2CBr2Cl3.

Cell: 9.154 9.154 7.927 Å, 103.62 103.62 23.77°
Fractional coordinates of all 10 atoms:
1 Ho 0.000 0.000 0.208
2 Pr 0.646 0.646 0.083
3 Pr 0.354 0.354 0.917
4 Cl 0.153 0.153 0.355
5 Ho 0.000 0.000 0.792
6 Cl 0.847 0.847 0.645
7 Br 0.165 0.165 0.801
8 C 0.500 0.500 0.000
9 Br 0.835 0.835 0.199
10 Cl 0.500 0.500 0.500

M_tot ... 0.091 Bohr magnetons per cell
Offset from the most stable computed form ... 2 meV per atom

=====

# 9
DFT (PBE) results for an optimized crystal structure of Pr2Ho2CBr2Cl3.

Cell: 8.952 8.952 8.268 Å, 101.54 101.54 24.93°
Fractional coordinates of all 10 atoms:
1 Ho 0.360 0.360 0.931
2 Br 0.171 0.171 0.327
3 Pr 0.996 0.996 0.213
4 Cl 0.176 0.176 0.861
5 Ho 0.640 0.640 0.069
6 C 0.500 0.500 0.000
7 Pr 0.004 0.004 0.787
8 Cl 0.824 0.824 0.139
9 Br 0.829 0.829 0.673
10 Cl 0.500 0.500 0.500

M_tot ... 0.009 Bohr magnetons per cell
Offset from the most stable computed form ... 0 meV per atom

=====

# 10
DFT (PBE) results for an optimized crystal structure of Pr2Ho2CBr2Cl3.

Cell: 9.161 9.161 8.226 Å, 102.91 102.91 24.37°
Fractional coordinates of all 10 atoms:
1 Pr 0.000 0.000 0.785
2 Pr 0.000 0.000 0.215
3 Br 0.175 0.175 0.843
4 Cl 0.835 0.835 0.688
5 Cl 0.165 0.165 0.312
6 Ho 0.637 0.637 0.074
7 C 0.500 0.500 0.000
8 Br 0.825 0.825 0.157
9 Cl 0.500 0.500 0.500
10 Ho 0.363 0.363 0.926

M_tot ... 0.009 Bohr magnetons per cell
Offset from the most stable computed form ... 0 meV per atom

=====

# 11
DFT (PBE) results for an optimized crystal structure of Pr2Ho2CBr3Cl2.

Cell: 8.931 8.931 8.543 Å, 102.05 102.05 25.14°
Fractional coordinates of all 10 atoms:
1 Ho 0.360 0.360 0.930
2 C 0.500 0.500 0.000
3 Cl 0.176 0.176 0.868
4 Cl 0.824 0.824 0.132
5 Br 0.828 0.828 0.682
6 Pr 0.004 0.004 0.795
7 Ho 0.640 0.640 0.070
8 Br 0.500 0.500 0.500
9 Br 0.172 0.172 0.318
10 Pr 0.996 0.996 0.205

Total DFT energy (no corrections) ... -51.9 eV/cell
M_tot ... 0.012 Bohr magnetons per cell

=====

# 12
DFT (PBE) results for an optimized crystal structure of Pr2Ho2CBr3Cl2.

Cell: 9.142 9.142 8.508 Å, 102.75 102.75 24.57°
Fractional coordinates of all 10 atoms:
1 Pr 0.000 0.000 0.207
2 Cl 0.166 0.166 0.295
3 Br 0.175 0.175 0.846
4 Cl 0.834 0.834 0.705
5 C 0.500 0.500 0.000
6 Br 0.500 0.500 0.500
7 Br 0.825 0.825 0.154
8 Ho 0.637 0.637 0.068
9 Pr 0.000 0.000 0.793
10 Ho 0.363 0.363 0.932

Total DFT energy (no corrections) ... -51.9 eV/cell
M_tot ... 0.022 Bohr magnetons per cell